BaCeAlO4: optimized geometry, PBE.

## Properties
calculated volume	16.9	A^3/atom
DOS at the Fermi energy	13.44	states/eV/cell
M_tot	2.0	Bohr magnetons per cell
symmetry	P2_1/m (11)
E_form (uncorrected)	-2.974	eV per atom

```
14
Lattice="-1.9632 2.3811 -4.9396 -3.9611 -4.3182 -0.5072 -3.7791 2.8152 5.5456" Properties=species:S:1:pos:R:3 pbc="T T T"
Ba -7.8648 1.0559 1.2777
Ba -1.8386 -0.1778 -1.1789
Ce -6.2722 -0.0479 -1.7627
Ce -3.4313 0.9260 1.8615
Al -4.6792 -1.7360 0.1691
Al -5.0242 2.6142 -0.0703
O -6.4795 2.2020 -1.0181
O -5.0617 -3.3273 0.8816
O -3.2239 -1.3238 1.1169
O -4.6417 4.2054 -0.7828
O -4.4890 -1.7029 -1.5985
O -5.2144 2.5810 1.6973
O -5.9788 -0.5855 0.5230
O -3.7246 1.4636 -0.4242
```